Entry 1:
Material: DyMg2Zn2
Method: DFT, PBE-GGA
State: optimized geometry

The excess energy over the best structure of this formula in the dataset comes out at 0.090 eV/atom. For the raw total energy, the calculation gives -43.67 eV per cell. For the magnetic moment, the calculation gives 0.00 μB/f.u.

The space group is I4/mmm (No. 139) and the conventional cell measures 4.225, 4.225 and 24.027 Å, with angles of 90.00, 90.00 and 90.00 degrees. The inequivalent atoms are Dy at (0.000, 0.000, 0.122), Mg at (0.000, 0.000, 0.318), Mg at (0.000, 0.500, 0.000), Zn at (0.000, 0.000, 0.425) and Zn at (0.000, 0.500, 0.250).

Entry 2:
Material: DyMg2Zn
Method: DFT, PBE-GGA
State: optimized geometry

For the raw total energy, the calculation gives -19.51 eV per cell. For the magnetic moment, the calculation gives 0.00 μB/f.u.

The space group is I-4m2 (No. 119) and the conventional cell measures 4.997, 4.997 and 6.999 Å, with angles of 90.00, 90.00 and 90.00 degrees. The inequivalent atoms are Dy at (0.000, 0.000, 0.000), Mg at (0.000, 0.000, 0.500), Mg at (0.000, 0.500, 0.250) and Zn at (0.000, 0.500, 0.750).

Entry 3:
Material: Dy4MgZn3
Method: DFT, PBE-GGA
State: optimized geometry

For the raw total energy, the calculation gives -25.94 eV per cell. For the magnetic moment, the calculation gives 0.00 μB/f.u.

The space group is Pmmm (No. 47) and the conventional cell measures 3.644, 5.097 and 10.199 Å, with angles of 90.00, 90.00 and 90.00 degrees. The inequivalent atoms are Dy at (0.000, 0.000, 0.000), Dy at (0.000, 0.000, 0.500), Dy at (0.000, 0.500, 0.238), Mg at (0.500, 0.500, 0.500), Zn at (0.500, 0.000, 0.257) and Zn at (0.500, 0.500, 0.000).

Entry 4:
Material: Dy2Mg3Zn4
Method: DFT, PBE-GGA
State: optimized geometry

For the raw total energy, the calculation gives -83.08 eV per cell. For the magnetic moment, the calculation gives 0.00 μB/f.u.

The space group is Cmce (No. 64) and the conventional cell measures 5.940, 16.867 and 7.539 Å, with angles of 90.00, 90.00 and 90.00 degrees. The inequivalent atoms are Dy at (0.000, 0.095, 0.102), Mg at (0.000, 0.000, 0.500), Mg at (0.250, 0.238, 0.750), Zn at (0.000, 0.160, 0.482) and Zn at (0.250, 0.073, 0.750).

Entry 5:
Material: Dy2MgZn4
Method: DFT, PBE-GGA
State: optimized geometry

For the raw total energy, the calculation gives -49.94 eV per cell. For the magnetic moment, the calculation gives 0.00 μB/f.u.

The space group is R-3m (No. 166, hexagonal axes) and the conventional cell measures 4.7521, 4.7521 and 23.7907 Å, with angles of 90.00, 90.00 and 120.00 degrees. The inequivalent atoms are Dy at (0.0000, 0.0000, 0.2503), Mg at (0.0000, 0.0000, 0.5000), Zn at (0.0000, 0.0000, 0.1255) and Zn at (0.0000, 0.0000, 0.3734).

Entry 6:
Material: DyMgZn3
Method: DFT, PBE-GGA
State: optimized geometry

For the raw total energy, the calculation gives -45.31 eV per cell. For the magnetic moment, the calculation gives 0.00 μB/f.u.

The space group is Cmcm (No. 63) and the conventional cell measures 3.455, 25.643 and 4.446 Å, with angles of 90.00, 90.00 and 90.00 degrees. The inequivalent atoms are Dy at (0.000, 0.076, 0.250), Mg at (0.000, 0.214, 0.750), Zn at (0.000, 0.324, 0.750), Zn at (0.000, 0.375, 0.250) and Zn at (0.000, 0.475, 0.250).

Entry 7:
Material: DyMgZn2
Method: DFT, PBE-GGA
State: optimized geometry

The excess energy over the best structure of this formula in the dataset comes out at 0.096 eV/atom. For the raw total energy, the calculation gives -9.69 eV per cell. For the magnetic moment, the calculation gives 0.00 μB/f.u.

The space group is P4/mmm (No. 123) and the conventional cell measures 4.796, 4.796 and 3.612 Å, with angles of 90.00, 90.00 and 90.00 degrees. The inequivalent atoms are Dy at (0.000, 0.000, 0.000), Mg at (0.500, 0.500, 0.000) and Zn at (0.000, 0.500, 0.500).

Entry 8:
Material: DyMg3Zn
Method: DFT, PBE-GGA
State: optimized geometry

For the raw total energy, the calculation gives -22.55 eV per cell. For the magnetic moment, the calculation gives 0.00 μB/f.u.

The space group is P2_1/m (No. 11) and the conventional cell measures 7.596, 3.772 and 8.394 Å, with angles of 90.00, 106.88 and 90.00 degrees. The inequivalent atoms are Dy at (0.167, 0.250, 0.161), Mg at (0.087, 0.250, 0.651), Mg at (0.330, 0.750, 0.904), Mg at (0.336, 0.750, 0.512) and Zn at (0.492, 0.750, 0.248).

Entry 9:
Material: DyMg3Zn4
Method: DFT, PBE-GGA
State: optimized geometry

For the raw total energy, the calculation gives -15.95 eV per cell. For the magnetic moment, the calculation gives 0.00 μB/f.u.

The space group is P4/mmm (No. 123) and the conventional cell measures 4.633, 4.633 and 7.138 Å, with angles of 90.00, 90.00 and 90.00 degrees. The inequivalent atoms are Dy at (0.000, 0.000, 0.000), Mg at (0.000, 0.000, 0.500), Mg at (0.500, 0.500, 0.000), Mg at (0.500, 0.500, 0.500) and Zn at (0.000, 0.500, 0.262).

Entry 10:
Material: DyMg2Zn
Method: DFT, PBE-GGA
State: optimized geometry

For the raw total energy, the calculation gives -36.95 eV per cell. For the magnetic moment, the calculation gives 0.00 μB/f.u.

The space group is Fm-3m (No. 225) and the conventional cell measures 7.029, 7.029 and 7.029 Å, with angles of 90.00, 90.00 and 90.00 degrees. The inequivalent atoms are Dy at (0.000, 0.000, 0.000), Mg at (0.250, 0.250, 0.250) and Zn at (0.000, 0.000, 0.500).

Entry 11:
Material: Dy2Mg2Zn15
Method: DFT, PBE-GGA
State: optimized geometry

For the raw total energy, the calculation gives -107.40 eV per cell. For the magnetic moment, the calculation gives 0.00 μB/f.u.

The space group is R-3m (No. 166, hexagonal axes) and the conventional cell measures 9.0582, 9.0582 and 13.3383 Å, with angles of 90.00, 90.00 and 120.00 degrees. The inequivalent atoms are Dy at (0.0000, 0.0000, 0.1571), Mg at (0.0000, 0.0000, 0.3957), Zn at (0.0000, 0.2972, 0.5000), Zn at (0.0000, 0.5000, 0.0000) and Zn at (0.0113, 0.5057, 0.6506).

Entry 12:
Material: Dy4MgZn
Method: DFT, PBE-GGA
State: optimized geometry

The excess energy over the best structure of this formula in the dataset comes out at 0.334 eV/atom. For the raw total energy, the calculation gives -20.00 eV per cell. For the magnetic moment, the calculation gives 0.00 μB/f.u.

The space group is P4/mmm (No. 123) and the conventional cell measures 4.949, 4.949 and 7.583 Å, with angles of 90.00, 90.00 and 90.00 degrees. The inequivalent atoms are Dy at (0.000, 0.500, 0.225), Mg at (0.000, 0.000, 0.500) and Zn at (0.500, 0.500, 0.000).

Entry 13:
Material: DyMg3Zn3
Method: DFT, PBE-GGA
State: optimized geometry

For the raw total energy, the calculation gives -28.64 eV per cell. For the magnetic moment, the calculation gives 0.00 μB/f.u.

The space group is P2_1/m (No. 11) and the conventional cell measures 8.347, 4.684 and 8.358 Å, with angles of 90.00, 119.95 and 90.00 degrees. The inequivalent atoms are Dy at (0.167, 0.250, 0.333), Mg at (0.254, 0.250, 0.985), Mg at (0.269, 0.750, 0.754), Mg at (0.485, 0.750, 0.231), Zn at (0.023, 0.250, 0.604), Zn at (0.104, 0.750, 0.080) and Zn at (0.419, 0.750, 0.523).

Entry 14:
Material: Dy2MgZn10
Method: DFT, PBE-GGA
State: optimized geometry

For the raw total energy, the calculation gives -50.97 eV per cell. For the magnetic moment, the calculation gives 0.00 μB/f.u.

The space group is P2_1/c (No. 14) and the conventional cell measures 5.552, 5.878 and 15.495 Å, with angles of 90.00, 110.54 and 90.00 degrees. The inequivalent atoms are Dy at (0.079, 0.222, 0.079), Mg at (0.500, 0.000, 0.500), Zn at (0.090, 0.221, 0.369), Zn at (0.248, 0.037, 0.754), Zn at (0.300, 0.602, 0.800), Zn at (0.357, 0.722, 0.134) and Zn at (0.420, 0.545, 0.421).

Entry 15:
Material: Dy3MgZn3
Method: DFT, PBE-GGA
State: optimized geometry

For the raw total energy, the calculation gives -61.68 eV per cell. For the magnetic moment, the calculation gives 0.00 μB/f.u.

The space group is R3m (No. 160, hexagonal axes) and the conventional cell measures 9.9380, 9.9380 and 5.9075 Å, with angles of 90.00, 90.00 and 120.00 degrees. The inequivalent atoms are Dy at (0.1958, 0.3915, 0.0000), Mg at (0.0000, 0.0000, 0.8537) and Zn at (0.1732, 0.3463, 0.5083).

Entry 16:
Material: DyMgZn17
Method: DFT, PBE-GGA
State: optimized geometry

For the raw total energy, the calculation gives -90.54 eV per cell. For the magnetic moment, the calculation gives 0.00 μB/f.u.

The space group is R3m (No. 160, hexagonal axes) and the conventional cell measures 8.9483, 8.9483 and 13.2015 Å, with angles of 90.00, 90.00 and 120.00 degrees. The inequivalent atoms are Dy at (0.0000, 0.0000, 0.0000), Mg at (0.0000, 0.0000, 0.2974), Zn at (0.0000, 0.0000, 0.5553), Zn at (0.0000, 0.0000, 0.7610), Zn at (0.0054, 0.5027, 0.8150), Zn at (0.0329, 0.3606, 0.3307), Zn at (0.1706, 0.3412, 0.5015) and Zn at (0.1719, 0.3438, 0.8422).

Entry 17:
Material: DyMg2Zn
Method: DFT, PBE-GGA
State: optimized geometry

For the raw total energy, the calculation gives -9.38 eV per cell. For the magnetic moment, the calculation gives 0.00 μB/f.u.

The space group is P4/mmm (No. 123) and the conventional cell measures 3.309, 3.309 and 8.236 Å, with angles of 90.00, 90.00 and 90.00 degrees. The inequivalent atoms are Dy at (0.000, 0.000, 0.000), Mg at (0.500, 0.500, 0.296) and Zn at (0.000, 0.000, 0.500).

Entry 18:
Material: DyMg11Zn
Method: DFT, PBE-GGA
State: optimized geometry

For the raw total energy, the calculation gives -47.82 eV per cell. For the magnetic moment, the calculation gives 0.00 μB/f.u.

The space group is C2/m (No. 12) and the conventional cell measures 5.851, 14.268 and 7.630 Å, with angles of 90.00, 111.35 and 90.00 degrees. The inequivalent atoms are Dy at (0.000, 0.000, 0.000), Mg at (0.000, 0.000, 0.500), Mg at (0.100, 0.396, 0.216), Mg at (0.180, 0.172, 0.355), Mg at (0.250, 0.250, 0.000) and Zn at (0.000, 0.500, 0.500).

Entry 19:
Material: Dy2MgZn16
Method: DFT, PBE-GGA
State: optimized geometry

For the raw total energy, the calculation gives -106.85 eV per cell. For the magnetic moment, the calculation gives 0.00 μB/f.u.

The space group is R3m (No. 160, hexagonal axes) and the conventional cell measures 9.0089, 9.0089 and 13.2383 Å, with angles of 90.00, 90.00 and 120.00 degrees. The inequivalent atoms are Dy at (0.0000, 0.0000, 0.0000), Dy at (0.0000, 0.0000, 0.3216), Mg at (0.0000, 0.0000, 0.7536), Zn at (0.0000, 0.0000, 0.5491), Zn at (0.9997, 0.2983, 0.6605), Zn at (0.0025, 0.5013, 0.1609), Zn at (0.0120, 0.5060, 0.8130) and Zn at (0.1711, 0.3422, 0.8426).

Entry 20:
Material: DyMg2Zn10
Method: DFT, PBE-GGA
State: optimized geometry

For the raw total energy, the calculation gives -89.28 eV per cell. For the magnetic moment, the calculation gives 0.00 μB/f.u.

The space group is Fmmm (No. 69) and the conventional cell measures 5.525, 12.470 and 12.777 Å, with angles of 90.00, 90.00 and 90.00 degrees. The inequivalent atoms are Dy at (0.000, 0.000, 0.000), Mg at (0.250, 0.000, 0.250), Zn at (0.000, 0.110, 0.396), Zn at (0.000, 0.181, 0.173) and Zn at (0.250, 0.250, 0.000).

Entry 21:
Material: DyMg2Zn
Method: DFT, PBE-GGA
State: optimized geometry

For the raw total energy, the calculation gives -24.90 eV per cell. For the magnetic moment, the calculation gives 0.00 μB/f.u.

The space group is R-3m (No. 166, hexagonal axes) and the conventional cell measures 3.1779, 3.1779 and 32.9533 Å, with angles of 90.00, 90.00 and 120.00 degrees. The inequivalent atoms are Dy at (0.0000, 0.0000, 0.0000), Mg at (0.0000, 0.0000, 0.0978) and Zn at (0.0000, 0.0000, 0.5000).